(1)
VASP calculation (GGA-PBE) on a relaxed Sr2CaGa4Pd3 crystal.

Cell and atoms, written as CIF:
```
data_Sr2CaGa4Pd3
_space_group_name_H-M_alt 'P -4 m 2'
_space_group_IT_number 115
_cell_length_a 4.333
_cell_length_b 4.333
_cell_length_c 11.994
_cell_angle_alpha 90.00
_cell_angle_beta 90.00
_cell_angle_gamma 90.00
loop_
_space_group_symop_operation_xyz
'x,y,z'
'y,-x,-z'
'-x,-y,z'
'-y,x,-z'
'-x,y,z'
'-y,-x,-z'
'x,-y,z'
'y,x,-z'
loop_
_atom_site_label
_atom_site_fract_x
_atom_site_fract_y
_atom_site_fract_z
Sr1 0.000 0.500 0.227
Ca1 0.000 0.000 0.500
Ga1 0.000 0.000 0.000
Ga2 0.000 0.500 0.667
Ga3 0.500 0.500 0.000
Pd1 0.000 0.500 0.881
Pd2 0.500 0.500 0.500
```

Values from the calculation:
The calculated total energy is -3.89 eV per atom. Its formation energy is -585 meV/atom. For the mass density, the calculation gives 6.0 g/cm3. The density of states at the Fermi level is 6.95 states/eV/cell.



(2)
VASP calculation (GGA-PBE) on a relaxed Y2TcHgN crystal.

Cell and atoms, written as CIF:
```
data_Y2TcHgN
_space_group_name_H-M_alt 'P 4/m m m'
_space_group_IT_number 123
_space_group_name_Hall '-P 4 2'
_cell_length_a 4.972
_cell_length_b 4.972
_cell_length_c 3.930
_cell_angle_alpha 90.00
_cell_angle_beta 90.00
_cell_angle_gamma 90.00
loop_
_atom_site_label
_atom_site_fract_x
_atom_site_fract_y
_atom_site_fract_z
Y1 0.000 0.500 0.000
Tc1 0.000 0.000 0.500
Hg1 0.500 0.500 0.500
N1 0.000 0.000 0.000
```

Values from the calculation:
Its energy relative to the elements, uncorrected is -3.707 eV/f.u. The calculated total energy is -7.13 eV per atom. For the mass density, the calculation gives 8.4 g/cm3. The density of states at the Fermi level is 1.32 states/eV/cell.



(3)
VASP calculation (GGA-PBE) on a relaxed Tb6Ho3Mg crystal.

Cell and atoms, written as CIF:
```
data_Tb6Ho3Mg
_space_group_name_H-M_alt 'C m c 21'
_space_group_IT_number 36
_cell_length_a 9.374
_cell_length_b 14.727
_cell_length_c 9.035
_cell_angle_alpha 90.00
_cell_angle_beta 90.00
_cell_angle_gamma 90.00
loop_
_space_group_symop_operation_xyz
'x,y,z'
'-x,-y,z+1/2'
'-x,y,z'
'x,-y,z+1/2'
'x+1/2,y+1/2,z'
'-x+1/2,-y+1/2,z+1/2'
'-x+1/2,y+1/2,z'
'x+1/2,-y+1/2,z+1/2'
loop_
_atom_site_label
_atom_site_fract_x
_atom_site_fract_y
_atom_site_fract_z
Tb1 0.000 0.063 0.000
Tb2 0.000 0.296 0.869
Tb3 0.176 0.346 0.484
Tb4 0.218 0.071 0.317
Ho1 0.000 0.465 0.142
Ho2 0.176 0.143 0.656
Mg1 0.000 0.240 0.221
```

Values from the calculation:
As for the distance to the lowest polymorph of the same formula: 107 kJ/mol of formula units. The calculated total energy is -4.18 eV per atom. Its formation energy is 128 meV/atom. For the mass density, the calculation gives 7.8 g/cm3. The density of states at the Fermi level is 48.42 states/eV/cell.



(4)
VASP calculation (GGA-PBE) on a relaxed MgZnCd2 crystal.

Cell and atoms, written as CIF:
```
data_MgZnCd2
_space_group_name_H-M_alt 'I 4/m m m'
_space_group_IT_number 139
_space_group_name_Hall '-I 4 2'
_cell_length_a 4.352
_cell_length_b 4.352
_cell_length_c 8.569
_cell_angle_alpha 90.00
_cell_angle_beta 90.00
_cell_angle_gamma 90.00
loop_
_atom_site_label
_atom_site_fract_x
_atom_site_fract_y
_atom_site_fract_z
Mg1 0.000 0.000 0.000
Zn1 0.000 0.000 0.500
Cd1 0.000 0.500 0.250
```

Values from the calculation:
As for the distance to the lowest polymorph of the same formula: 2 kJ/mol of formula units. The calculated total energy is -1.19 eV per atom. Its formation energy is -15 meV/atom. For the mass density, the calculation gives 6.4 g/cm3. The density of states at the Fermi level is 3.00 states/eV/cell.



(5)
VASP calculation (GGA-PBE) on a relaxed KY2Al crystal.

Cell and atoms, written as CIF:
```
data_KY2Al
_space_group_name_H-M_alt 'P 1 2/m 1'
_space_group_IT_number 10
_cell_length_a 3.572
_cell_length_b 3.572
_cell_length_c 10.772
_cell_angle_alpha 90.00
_cell_angle_beta 90.05
_cell_angle_gamma 90.00
loop_
_space_group_symop_operation_xyz
'x,y,z'
'-x,-y,-z'
'-x,y,-z'
'x,-y,z'
loop_
_atom_site_label
_atom_site_fract_x
_atom_site_fract_y
_atom_site_fract_z
K1 0.000 0.000 0.000
Y1 0.499 0.500 0.332
Al1 0.000 0.000 0.500
```

Values from the calculation:
The calculated total energy is -4.42 eV per atom. Its formation energy is 26 meV/atom. For the mass density, the calculation gives 2.9 g/cm3. The density of states at the Fermi level is 4.54 states/eV/cell.



(6)
VASP calculation (GGA-PBE) on a relaxed Ti5Mo2H12 crystal.

Cell and atoms, written as CIF:
```
data_Ti5Mo2H12
_space_group_name_H-M_alt 'C 1 2/m 1'
_space_group_IT_number 12
_cell_length_a 9.878
_cell_length_b 5.260
_cell_length_c 6.135
_cell_angle_alpha 90.00
_cell_angle_beta 104.77
_cell_angle_gamma 90.00
loop_
_space_group_symop_operation_xyz
'x,y,z'
'-x,-y,-z'
'-x,y,-z'
'x,-y,z'
'x+1/2,y+1/2,z'
'-x+1/2,-y+1/2,-z'
'-x+1/2,y+1/2,-z'
'x+1/2,-y+1/2,z'
loop_
_atom_site_label
_atom_site_fract_x
_atom_site_fract_y
_atom_site_fract_z
Ti1 0.000 0.000 0.000
Ti2 0.186 0.500 0.866
Ti3 0.209 0.500 0.330
Mo1 0.000 0.243 0.500
H1 0.011 0.500 0.283
H2 0.058 0.000 0.324
H3 0.159 0.251 0.083
H4 0.190 0.301 0.600
```

Values from the calculation:
The calculated total energy is -5.56 eV per atom. For the mass density, the calculation gives 4.8 g/cm3. The density of states at the Fermi level is 16.82 states/eV/cell.



(7)
VASP calculation (GGA-PBE) on a relaxed SmIn2Si crystal.

Cell and atoms, written as CIF:
```
data_SmIn2Si
_space_group_name_H-M_alt 'P 4/m m m'
_space_group_IT_number 123
_space_group_name_Hall '-P 4 2'
_cell_length_a 4.366
_cell_length_b 4.366
_cell_length_c 4.905
_cell_angle_alpha 90.00
_cell_angle_beta 90.00
_cell_angle_gamma 90.00
loop_
_atom_site_label
_atom_site_fract_x
_atom_site_fract_y
_atom_site_fract_z
Sm1 0.000 0.000 0.000
In1 0.000 0.500 0.500
Si1 0.500 0.500 0.000
```

Values from the calculation:
Its energy relative to the elements, uncorrected is -1.305 eV/f.u. The calculated total energy is -4.23 eV per atom. For the mass density, the calculation gives 7.2 g/cm3. The density of states at the Fermi level is 1.29 states/eV/cell.



(8)
VASP calculation (GGA-PBE) on a relaxed AsPdI2O crystal.

Cell and atoms, written as CIF:
```
data_AsPdI2O
_space_group_name_H-M_alt 'P 4/m m m'
_space_group_IT_number 123
_space_group_name_Hall '-P 4 2'
_cell_length_a 5.728
_cell_length_b 5.728
_cell_length_c 3.753
_cell_angle_alpha 90.00
_cell_angle_beta 90.00
_cell_angle_gamma 90.00
loop_
_atom_site_label
_atom_site_fract_x
_atom_site_fract_y
_atom_site_fract_z
As1 0.000 0.000 0.000
Pd1 0.500 0.500 0.500
I1 0.000 0.500 0.000
O1 0.000 0.000 0.500
```

Values from the calculation:
Its energy relative to the elements, uncorrected is 0.606 eV/f.u. As for the distance to the lowest polymorph of the same formula: 0 kJ/mol of formula units. The calculated total energy is -3.46 eV per atom. For the mass density, the calculation gives 6.1 g/cm3. The density of states at the Fermi level is 5.35 states/eV/cell.



(9)
VASP calculation (GGA-PBE) on a relaxed K2AlBr crystal.

Cell and atoms, written as CIF:
```
data_K2AlBr
_space_group_name_H-M_alt 'I -4 m 2'
_space_group_IT_number 119
_space_group_name_Hall 'I -4 -2'
_cell_length_a 4.841
_cell_length_b 4.841
_cell_length_c 13.450
_cell_angle_alpha 90.00
_cell_angle_beta 90.00
_cell_angle_gamma 90.00
loop_
_atom_site_label
_atom_site_fract_x
_atom_site_fract_y
_atom_site_fract_z
K1 0.000 0.000 0.000
K2 0.000 0.500 0.250
Al1 0.000 0.500 0.750
Br1 0.000 0.000 0.500
```

Values from the calculation:
Its energy relative to the elements, uncorrected is -1.137 eV/f.u. As for the distance to the lowest polymorph of the same formula: 90 kJ/mol of formula units. The calculated total energy is -2.19 eV per atom. For the mass density, the calculation gives 2.0 g/cm3. The density of states at the Fermi level is 5.51 states/eV/cell.



(10)
VASP calculation (GGA-PBE) on a relaxed SrAcGe2 crystal.

Cell and atoms, written as CIF:
```
data_SrAcGe2
_space_group_name_H-M_alt 'A m m 2'
_space_group_IT_number 38
_cell_length_a 4.231
_cell_length_b 4.777
_cell_length_c 11.732
_cell_angle_alpha 90.00
_cell_angle_beta 90.00
_cell_angle_gamma 90.00
loop_
_space_group_symop_operation_xyz
'x,y,z'
'-x,-y,z'
'-x,y,z'
'x,-y,z'
'x,y+1/2,z+1/2'
'-x,-y+1/2,z+1/2'
'-x,y+1/2,z+1/2'
'x,-y+1/2,z+1/2'
loop_
_atom_site_label
_atom_site_fract_x
_atom_site_fract_y
_atom_site_fract_z
Sr1 0.000 0.000 0.000
Ac1 0.500 0.000 0.720
Ge1 0.000 0.000 0.289
Ge2 0.500 0.000 0.434
```

Values from the calculation:
The calculated total energy is -4.41 eV per atom. Its formation energy is -650 meV/atom. For the mass density, the calculation gives 6.4 g/cm3. The density of states at the Fermi level is 5.65 states/eV/cell.



(11)
VASP calculation (GGA-PBE) on a relaxed TcMo crystal.

Cell and atoms, written as CIF:
```
data_TcMo
_space_group_name_H-M_alt 'P -6 m 2'
_space_group_IT_number 187
_space_group_name_Hall 'P -6 2'
_cell_length_a 2.7728
_cell_length_b 2.7728
_cell_length_c 13.8233
_cell_angle_alpha 90.00
_cell_angle_beta 90.00
_cell_angle_gamma 120.00
loop_
_atom_site_label
_atom_site_fract_x
_atom_site_fract_y
_atom_site_fract_z
Tc1 0.0000 0.0000 0.0000
Tc2 0.6667 0.3333 0.1578
Mo1 0.0000 0.0000 0.3231
Mo2 0.6667 0.3333 0.5000
```

Values from the calculation:
As for the distance to the lowest polymorph of the same formula: 25 kJ/mol of formula units. The calculated total energy is -10.39 eV per atom. Its formation energy is 208 meV/atom. For the mass density, the calculation gives 10.5 g/cm3. The density of states at the Fermi level is 7.80 states/eV/cell.



(12)
VASP calculation (GGA-PBE) on a relaxed PrTm2SiN4 crystal.

Cell and atoms, written as CIF:
```
data_PrTm2SiN4
_space_group_name_H-M_alt 'C m c m'
_space_group_IT_number 63
_space_group_name_Hall '-C 2c 2'
_cell_length_a 3.352
_cell_length_b 11.572
_cell_length_c 11.362
_cell_angle_alpha 90.00
_cell_angle_beta 90.00
_cell_angle_gamma 90.00
loop_
_atom_site_label
_atom_site_fract_x
_atom_site_fract_y
_atom_site_fract_z
Pr1 0.000 0.086 0.250
Tm1 0.000 0.369 0.041
Si1 0.000 0.178 0.750
N1 0.000 0.000 0.000
N2 0.000 0.262 0.626
N3 0.000 0.403 0.250
```

Values from the calculation:
Its energy relative to the elements, uncorrected is -11.294 eV/f.u. The calculated total energy is -7.97 eV per atom. For the mass density, the calculation gives 8.5 g/cm3. The density of states at the Fermi level is 5.24 states/eV/cell.



(13)
VASP calculation (GGA-PBE) on a relaxed PaNbAl4 crystal.

Cell and atoms, written as CIF:
```
data_PaNbAl4
_space_group_name_H-M_alt 'F -4 3 m'
_space_group_IT_number 216
_space_group_name_Hall 'F -4 2 3'
_cell_length_a 7.586
_cell_length_b 7.586
_cell_length_c 7.586
_cell_angle_alpha 90.00
_cell_angle_beta 90.00
_cell_angle_gamma 90.00
loop_
_atom_site_label
_atom_site_fract_x
_atom_site_fract_y
_atom_site_fract_z
Pa1 0.000 0.000 0.000
Nb1 0.250 0.250 0.250
Al1 0.125 0.125 0.625
```

Values from the calculation:
The calculated total energy is -5.94 eV per atom. Its formation energy is -184 meV/atom. For the mass density, the calculation gives 6.6 g/cm3. The density of states at the Fermi level is 27.69 states/eV/cell.



(14)
VASP calculation (GGA-PBE) on a relaxed NdUPa2P4 crystal.

Cell and atoms, written as CIF:
```
data_NdUPa2P4
_space_group_name_H-M_alt 'P 1 2/m 1'
_space_group_IT_number 10
_cell_length_a 6.934
_cell_length_b 3.995
_cell_length_c 6.958
_cell_angle_alpha 90.00
_cell_angle_beta 109.34
_cell_angle_gamma 90.00
loop_
_space_group_symop_operation_xyz
'x,y,z'
'-x,-y,-z'
'-x,y,-z'
'x,-y,z'
loop_
_atom_site_label
_atom_site_fract_x
_atom_site_fract_y
_atom_site_fract_z
Nd1 0.000 0.000 0.000
U1 0.000 0.500 0.500
Pa1 0.500 0.000 0.500
Pa2 0.500 0.500 0.000
P1 0.253 0.000 0.745
P2 0.259 0.500 0.260
```

Values from the calculation:
The calculated total energy is -8.35 eV per atom. Its formation energy is -1269 meV/atom. For the mass density, the calculation gives 8.8 g/cm3. The density of states at the Fermi level is 11.92 states/eV/cell.



(15)
VASP calculation (GGA-PBE) on a relaxed Pu2AgAs crystal.

Cell and atoms, written as CIF:
```
data_Pu2AgAs
_space_group_name_H-M_alt 'F m -3 m'
_space_group_IT_number 225
_space_group_name_Hall '-F 4 2 3'
_cell_length_a 7.202
_cell_length_b 7.202
_cell_length_c 7.202
_cell_angle_alpha 90.00
_cell_angle_beta 90.00
_cell_angle_gamma 90.00
loop_
_atom_site_label
_atom_site_fract_x
_atom_site_fract_y
_atom_site_fract_z
Pu1 0.250 0.250 0.250
Ag1 0.000 0.000 0.000
As1 0.000 0.000 0.500
```

Values from the calculation:
As for the distance to the lowest polymorph of the same formula: 17 kJ/mol of formula units. The calculated total energy is -9.43 eV per atom. Its formation energy is -387 meV/atom. For the mass density, the calculation gives 11.9 g/cm3. The density of states at the Fermi level is 60.02 states/eV/cell.



(16)
VASP calculation (GGA-PBE) on a relaxed La5Dy2Sc crystal.

Cell and atoms, written as CIF:
```
data_La5Dy2Sc
_space_group_name_H-M_alt 'C 1 2/m 1'
_space_group_IT_number 12
_cell_length_a 13.893
_cell_length_b 11.244
_cell_length_c 3.626
_cell_angle_alpha 90.00
_cell_angle_beta 105.00
_cell_angle_gamma 90.00
loop_
_space_group_symop_operation_xyz
'x,y,z'
'-x,-y,-z'
'-x,y,-z'
'x,-y,z'
'x+1/2,y+1/2,z'
'-x+1/2,-y+1/2,-z'
'-x+1/2,y+1/2,-z'
'x+1/2,-y+1/2,z'
loop_
_atom_site_label
_atom_site_fract_x
_atom_site_fract_y
_atom_site_fract_z
La1 0.000 0.000 0.000
La2 0.130 0.273 0.631
Dy1 0.245 0.000 0.744
Sc1 0.000 0.500 0.000
```

Values from the calculation:
The calculated total energy is -4.96 eV per atom. Its formation energy is 59 meV/atom. For the mass density, the calculation gives 6.5 g/cm3. The density of states at the Fermi level is 27.89 states/eV/cell.